First-principles (GGA-PBE) data for a geometry-optimized BeGaRu3 structure, as listed in Alexandria via LeMat-Bulk.

a b c (Å): 4.1526 4.1526 4.1526
angles (deg): 90.00 90.00 90.00
Last column: nearest neighbours and their distance in Å.
Fractional coordinates of all 5 atoms:
Be (0.0000, 0.0000, 0.0000)  6 Ru 2.08
Ga (0.5000, 0.5000, 0.5000)  12 Ru 2.94
Ru (0.0000, 0.0000, 0.5000)  2 Be 2.08
Ru (0.0000, 0.5000, 0.0000)  2 Be 2.08
Ru (0.5000, 0.0000, 0.0000)  2 Be 2.08

## Properties
- DOS(E_F): 5.70 states/eV/f.u.
- Offset from the most stable computed form: 0.0 meV/atom
- Formation energy: 0.43 eV/atom
- Crystal system: cubic

---

First-principles (GGA-PBE) data for a geometry-optimized Be2GaRu structure, as listed in Alexandria via LeMat-Bulk.

a b c (Å): 3.7662 3.7662 3.1339
angles (deg): 90.00 90.00 90.00
Last column: nearest neighbours and their distance in Å.
Fractional coordinates of all 4 atoms:
Be (0.0000, 0.5000, 0.0000)  4 Ru 2.45, 4 Ga 2.45, 4 Be 2.66
Be (0.5000, 0.0000, 0.0000)  4 Ru 2.45, 4 Ga 2.45, 4 Be 2.66
Ga (0.0000, 0.0000, 0.5000)  8 Be 2.45, 4 Ru 2.66
Ru (0.5000, 0.5000, 0.5000)  8 Be 2.45, 4 Ga 2.66

## Properties
- DOS(E_F): 1.81 states/eV/f.u.
- Formation energy: -0.22 eV/atom
- Crystal system: tetragonal

---

First-principles (GGA-PBE) data for a geometry-optimized BeGaRu3 structure, as listed in Alexandria via LeMat-Bulk.

a b c (Å): 4.4913 4.4913 4.4913
angles (deg): 90.00 90.00 90.00
Last column: nearest neighbours and their distance in Å.
Fractional coordinates of all 5 atoms:
Be (0.0000, 0.0000, 0.0000)  12 Ru 3.18
Ga (0.5000, 0.5000, 0.5000)  6 Ru 2.25
Ru (0.0000, 0.5000, 0.5000)  2 Ga 2.25
Ru (0.5000, 0.0000, 0.5000)  2 Ga 2.25
Ru (0.5000, 0.5000, 0.0000)  2 Ga 2.25

## Properties
- DOS(E_F): 7.40 states/eV/f.u.
- Offset from the most stable computed form: 1142.2 meV/atom
- Formation energy: 1.57 eV/atom
- Crystal system: cubic

---

First-principles (GGA-PBE) data for a geometry-optimized Be2GaRu2 structure, as listed in Alexandria via LeMat-Bulk.

a b c (Å): 6.4531 6.4531 2.9947
angles (deg): 90.00 90.00 90.00
Last column: nearest neighbours and their distance in Å.
Fractional coordinates of all 10 atoms:
Be (0.1364, 0.3636, 0.0000)  6 Ru 2.39-2.44, 1 Be 2.49
Be (0.3636, 0.8636, 0.0000)  6 Ru 2.39-2.44, 1 Be 2.49
Be (0.6364, 0.1364, 0.0000)  6 Ru 2.39-2.44, 1 Be 2.49
Be (0.8636, 0.6364, 0.0000)  6 Ru 2.39-2.44, 1 Be 2.49
Ga (0.0000, 0.0000, 0.5000)  4 Ru 2.45
Ga (0.5000, 0.5000, 0.5000)  4 Ru 2.45
Ru (0.1519, 0.6519, 0.5000)  6 Be 2.39-2.44, 2 Ga 2.45
Ru (0.3481, 0.1519, 0.5000)  6 Be 2.39-2.44, 2 Ga 2.45
Ru (0.6519, 0.8481, 0.5000)  6 Be 2.39-2.44, 2 Ga 2.45
Ru (0.8481, 0.3481, 0.5000)  6 Be 2.39-2.44, 2 Ga 2.45

## Properties
- DOS(E_F): 5.08 states/eV/f.u.
- Offset from the most stable computed form: 245.7 meV/atom
- Formation energy: -0.18 eV/atom
- Crystal system: tetragonal

---

First-principles (GGA-PBE) data for a geometry-optimized Be2Ga2Ru structure, as listed in Alexandria via LeMat-Bulk.

a b c (Å): 6.1728 6.1728 3.2261
angles (deg): 90.00 90.00 90.00
Last column: nearest neighbours and their distance in Å.
Fractional coordinates of all 10 atoms:
Be (0.1295, 0.3705, 0.0000)  1 Be 2.26, 6 Ga 2.39-2.45, 2 Ru 2.42
Be (0.3705, 0.8705, 0.0000)  1 Be 2.26, 6 Ga 2.39-2.45, 2 Ru 2.42
Be (0.6295, 0.1295, 0.0000)  1 Be 2.26, 6 Ga 2.39-2.45, 2 Ru 2.42
Be (0.8705, 0.6295, 0.0000)  1 Be 2.26, 6 Ga 2.39-2.45, 2 Ru 2.42
Ga (0.1678, 0.6678, 0.5000)  6 Be 2.39-2.45
Ga (0.3322, 0.1678, 0.5000)  6 Be 2.39-2.45
Ga (0.6678, 0.8322, 0.5000)  6 Be 2.39-2.45
Ga (0.8322, 0.3322, 0.5000)  6 Be 2.39-2.45
Ru (0.0000, 0.0000, 0.0000)  4 Be 2.42
Ru (0.5000, 0.5000, 0.0000)  4 Be 2.42

## Properties
- DOS(E_F): 1.83 states/eV/f.u.
- Formation energy: 0.03 eV/atom
- Crystal system: tetragonal

---

First-principles (GGA-PBE) data for a geometry-optimized BeGa2Ru structure, as listed in Alexandria via LeMat-Bulk.

a b c (Å): 5.3874 5.3874 5.3874
angles (deg): 102.33 102.33 124.96
Last column: nearest neighbours and their distance in Å.
Fractional coordinates of all 8 atoms:
Be (0.0000, 0.0000, 0.0000)  4 Ga 2.34, 2 Ru 2.49
Be (0.7500, 0.2500, 0.5000)  4 Ga 2.34, 2 Ru 2.49
Ga (0.0965, 0.6250, 0.9715)  2 Be 2.34, 2 Ga 2.52, 2 Ru 2.60
Ga (0.3750, 0.3465, 0.4715)  2 Be 2.34, 2 Ga 2.52, 2 Ru 2.60
Ga (0.6535, 0.1250, 0.0285)  2 Be 2.34, 2 Ga 2.52, 2 Ru 2.60
Ga (0.8750, 0.9035, 0.5285)  2 Be 2.34, 2 Ga 2.52, 2 Ru 2.60
Ru (0.2500, 0.7500, 0.5000)  2 Be 2.49, 4 Ga 2.60
Ru (0.5000, 0.5000, 0.0000)  2 Be 2.49, 4 Ga 2.60

## Properties
- DOS(E_F): 4.65 states/eV/f.u.
- Formation energy: 0.32 eV/atom
- Crystal system: tetragonal

---

First-principles (GGA-PBE) data for a geometry-optimized Be2GaRu2 structure, as listed in Alexandria via LeMat-Bulk.

a b c (Å): 6.0875 6.0875 3.0358
angles (deg): 90.00 90.00 90.00
Last column: nearest neighbours and their distance in Å.
Fractional coordinates of all 10 atoms:
Be (0.1209, 0.3791, 0.0000)  1 Be 2.08, 2 Ru 2.33
Be (0.3791, 0.8791, 0.0000)  1 Be 2.08, 2 Ru 2.33
Be (0.6209, 0.1209, 0.0000)  1 Be 2.08, 2 Ru 2.33
Be (0.8791, 0.6209, 0.0000)  1 Be 2.08, 2 Ru 2.33
Ga (0.0000, 0.0000, 0.0000)  4 Be 2.42
Ga (0.5000, 0.5000, 0.0000)  4 Be 2.42
Ru (0.1734, 0.6734, 0.5000)  6 Be 2.33-2.37
Ru (0.3266, 0.1734, 0.5000)  6 Be 2.33-2.37
Ru (0.6734, 0.8266, 0.5000)  6 Be 2.33-2.37
Ru (0.8266, 0.3266, 0.5000)  6 Be 2.33-2.37

## Properties
- DOS(E_F): 2.64 states/eV/f.u.
- Offset from the most stable computed form: 0.0 meV/atom
- Formation energy: -0.42 eV/atom
- Crystal system: tetragonal

---

First-principles (GGA-PBE) data for a geometry-optimized Sc2Be2GaRu5 structure, as listed in Alexandria via LeMat-Bulk.

a b c (Å): 9.3539 9.3539 3.1928
angles (deg): 90.00 90.00 90.00
Last column: nearest neighbours and their distance in Å.
Fractional coordinates of all 20 atoms:
Sc (0.1723, 0.3277, 0.0000)  3 Be 2.67-2.82, 10 Ru 2.78-2.99
Sc (0.3277, 0.8277, 0.0000)  3 Be 2.67-2.82, 10 Ru 2.78-2.99
Sc (0.6723, 0.1723, 0.0000)  3 Be 2.67-2.82, 10 Ru 2.78-2.99
Sc (0.8277, 0.6723, 0.0000)  3 Be 2.67-2.82, 10 Ru 2.78-2.99
Be (0.1255, 0.6255, 0.0000)  6 Ru 2.30
Be (0.3745, 0.1255, 0.0000)  6 Ru 2.30
Be (0.6255, 0.8745, 0.0000)  6 Ru 2.30
Be (0.8745, 0.3745, 0.0000)  6 Ru 2.30
Ga (0.0000, 0.0000, 0.0000)  8 Ru 2.58
Ga (0.5000, 0.5000, 0.0000)  8 Ru 2.58
Ru (0.0000, 0.5000, 0.5000)  4 Be 2.30
Ru (0.0696, 0.7943, 0.5000)  2 Be 2.30
Ru (0.2057, 0.0696, 0.5000)  2 Be 2.30
Ru (0.2943, 0.5696, 0.5000)  2 Be 2.30
Ru (0.4304, 0.2943, 0.5000)  2 Be 2.30
Ru (0.5000, 0.0000, 0.5000)  4 Be 2.30
Ru (0.5696, 0.7057, 0.5000)  2 Be 2.30
Ru (0.7057, 0.4304, 0.5000)  2 Be 2.30
Ru (0.7943, 0.9304, 0.5000)  2 Be 2.30
Ru (0.9304, 0.2057, 0.5000)  2 Be 2.30

## Properties
- DOS(E_F): 11.54 states/eV/f.u.
- Formation energy: -0.38 eV/atom
- Crystal system: tetragonal